[1]
This record from Alexandria via LeMat-Bulk describes a relaxed structure of HgOs2Se. The functional is PBE.

## Properties
- D(E_F) (states/eV/atom) = 1.243
- total DFT energy (no corrections) (eV per atom) = -5.403
- V (A^3/atom) = 17.08

a b c (Å): 5.7667 9.4796 2.8263
angles (deg): 90.00 117.85 90.00
Space group C2/m (No. 12)
Inequivalent atoms, fractional coordinates:
1 Hg 0.0000 0.0000 0.0000
2 Os 0.2500 0.2500 0.0000
3 Se 0.0000 0.5000 0.0000



[2]
This record from Alexandria via LeMat-Bulk describes a relaxed structure of TbGd2Mg. The functional is PBE.

## Properties
- D(E_F) (states/eV/atom) = 1.285
- total DFT energy (no corrections) (eV per atom) = -8.596
- formation energy (eV per atom) = 0.001
- V (A^3/atom) = 30.20
- excess energy over the best structure of this formula in the dataset (meV per atom) = 33

a b c (Å): 4.9657 4.9657 4.8986
angles (deg): 90.00 90.00 90.00
Space group P4/mmm (No. 123)
Inequivalent atoms, fractional coordinates:
1 Tb 0.0000 0.0000 0.0000
2 Gd 0.0000 0.5000 0.5000
3 Mg 0.5000 0.5000 0.0000



[3]
This record from Alexandria via LeMat-Bulk describes a relaxed structure of Zr2CoReH. The functional is PBE.

## Properties
- D(E_F) (states/eV/atom) = 0.479
- total DFT energy (no corrections) (eV per atom) = -8.306
- V (A^3/atom) = 14.20

a b c (Å): 4.5947 4.5947 3.3638
angles (deg): 90.00 90.00 90.00
Space group P4/mmm (No. 123)
Inequivalent atoms, fractional coordinates:
1 Zr 0.0000 0.5000 0.0000
2 Co 0.0000 0.0000 0.5000
3 Re 0.5000 0.5000 0.5000
4 H 0.0000 0.0000 0.0000



[4]
This record from Alexandria via LeMat-Bulk describes a relaxed structure of Ca6AgPt5. The functional is PBE.

## Properties
- D(E_F) (states/eV/atom) = 0.169
- total DFT energy (no corrections) (eV per atom) = -4.563
- formation energy (eV per atom) = -0.807
- V (A^3/atom) = 21.88

a b c (Å): 4.9620 7.0993 7.8352
angles (deg): 90.00 107.98 90.00
Space group P2/m (No. 10)
Inequivalent atoms, fractional coordinates:
1 Ca 0.0000 0.2385 0.0000
2 Ca 0.3277 0.2456 0.6570
3 Ag 0.5000 0.5000 0.0000
4 Pt 0.1612 0.5000 0.3206
5 Pt 0.1671 0.0000 0.3314
6 Pt 0.5000 0.0000 0.0000